TaAgPt | PBE-GGA | relaxed

```
TaAgPt
1.0
6.490 -0.002 0.002
5.854 2.803 0.001
0.636 0.148 2.802
Ag Ta Pt
1 1 1
direct
0.999 0.999 0.001 Ag
0.674 0.674 0.326 Ta
0.327 0.327 0.673 Pt
```

Values from the calculation:
* SG: No. 107
* formation energy from the elements: -47 kJ/mol of formula units
* E above lowest polymorph: 0.21 eV/f.u.

---

TaAg4Pt | PBE-GGA | relaxed

```
TaAg4Pt
1.0
0.000 3.747 3.747
3.747 0.000 3.747
3.747 3.747 0.000
Ag Ta Pt
4 1 1
direct
0.375 0.875 0.375 Ag
0.375 0.375 0.375 Ag
0.375 0.375 0.875 Ag
0.875 0.375 0.375 Ag
0.000 0.000 0.000 Ta
0.750 0.750 0.750 Pt
```

Values from the calculation:
* SG: No. 216
* formation energy from the elements: 238 kJ/mol of formula units

---

TaAgPt | PBE-GGA | relaxed

```
TaAgPt
1.0
4.578 0.000 0.000
-2.289 3.965 0.000
0.000 0.000 2.766
Ta Ag Pt
1 1 1
direct
0.333 0.667 0.667 Ta
0.000 0.000 0.167 Ag
0.667 0.333 0.166 Pt
```

Values from the calculation:
* SG: No. 187
* formation energy from the elements: -36 kJ/mol of formula units
* E above lowest polymorph: 0.32 eV/f.u.